# 1
This record from Alexandria describes a relaxed structure of CaNd3Er2Te6. The functional is GGA-PBE.

total magnetic moment: 0.000 μB/atom
volume: 30.87 A^3/atom
space-group type: C2/m
ΔE_f (raw): -1.387 eV/atom

Lattice parameters (Å, degrees): 4.386 8.982 9.971 104.44 102.70 90.00
Atoms (fractional coordinates):
Ca (0.500, 0.000, 0.000)
Nd (0.500, 0.500, 0.000)
Nd (0.836, 0.176, 0.673)
Nd (0.164, 0.824, 0.327)
Er (0.832, 0.664, 0.663)
Er (0.168, 0.336, 0.337)
Te (0.334, 0.909, 0.667)
Te (0.669, 0.572, 0.338)
Te (0.666, 0.091, 0.333)
Te (0.006, 0.246, 0.011)
Te (0.994, 0.754, 0.989)
Te (0.331, 0.428, 0.662)

=====

# 2
This record from Alexandria describes a relaxed structure of SrVSe2. The functional is GGA-PBE.

total magnetic moment: 0.750 μB/atom
volume: 22.68 A^3/atom
space-group type: Fm-3m
ΔE_f (raw): -0.763 eV/atom
energy above the lowest structure with this stoichiometry: 0.206 eV per atom

Lattice parameters (Å, degrees): 5.043 5.043 5.043 60.00 60.00 60.00
Atoms (fractional coordinates):
Sr (0.500, 0.500, 0.500)
Se (0.250, 0.250, 0.250)
Se (0.750, 0.750, 0.750)
V (0.000, 0.000, 0.000)

=====

# 3
This record from Alexandria describes a relaxed structure of GdCdRh. The functional is GGA-PBE.

total magnetic moment: 2.362 μB/atom
ΔE_f: -454 meV/atom
volume: 21.46 A^3/atom
space-group type: I4mm
energy above the lowest structure with this stoichiometry: 0.010 eV per atom

Lattice parameters (Å, degrees): 3.491 3.491 5.831 107.42 107.42 90.00
Atoms (fractional coordinates):
Gd (0.929, 0.929, 0.859)
Rh (0.285, 0.285, 0.570)
Cd (0.636, 0.636, 0.272)

=====

# 4
This record from Alexandria describes a relaxed structure of AgSbIr. The functional is GGA-PBE.

total magnetic moment: 0.000 μB/atom
volume: 18.95 A^3/atom
space-group type: P-6m2
ΔE_f (raw): 0.217 eV/atom
energy above the lowest structure with this stoichiometry: 0.120 eV per atom

Lattice parameters (Å, degrees): 4.524 4.524 3.207 90.00 90.00 120.00
Atoms (fractional coordinates):
Sb (0.333, 0.667, 0.499)
Ir (0.667, 0.333, 0.501)
Ag (0.000, 0.000, 0.000)

=====

# 5
This record from Alexandria describes a relaxed structure of SrTc2As. The functional is GGA-PBE.

total magnetic moment: 0.001 μB/atom
ΔE_f: 716 meV/atom
volume: 18.29 A^3/atom
space-group type: C2/m

Lattice parameters (Å, degrees): 5.201 5.707 2.885 75.50 89.70 117.02
Atoms (fractional coordinates):
Sr (0.500, 0.500, 0.000)
As (0.000, 0.500, 0.500)
Tc (0.000, 0.000, 0.000)
Tc (0.500, 0.000, 0.500)

=====

# 6
This record from Alexandria describes a relaxed structure of SiH3Pd6. The functional is GGA-PBE.

total magnetic moment: 0.000 μB/atom
volume: 11.52 A^3/atom
space-group type: P2_1/m
energy above the lowest structure with this stoichiometry: 0.000 eV per atom

Lattice parameters (Å, degrees): 2.965 10.106 9.043 121.74 90.00 90.00
Atoms (fractional coordinates):
Si (0.750, 0.118, 0.741)
Si (0.250, 0.882, 0.259)
H (0.750, 0.520, 0.842)
H (0.250, 0.480, 0.158)
H (0.750, 0.588, 0.528)
H (0.250, 0.412, 0.472)
H (0.750, 0.206, 0.155)
H (0.250, 0.794, 0.845)
Pd (0.750, 0.442, 0.604)
Pd (0.250, 0.558, 0.396)
Pd (0.750, 0.938, 0.090)
Pd (0.250, 0.062, 0.910)
Pd (0.750, 0.345, 0.077)
Pd (0.250, 0.655, 0.923)
Pd (0.750, 0.673, 0.212)
Pd (0.250, 0.327, 0.788)
Pd (0.750, 0.105, 0.464)
Pd (0.250, 0.895, 0.536)
Pd (0.750, 0.779, 0.720)
Pd (0.250, 0.221, 0.280)

=====

# 7
This record from Alexandria describes a relaxed structure of In2OsW. The functional is GGA-PBE.

total magnetic moment: 0.521 μB/atom
ΔE_f: 834 meV/atom
volume: 17.86 A^3/atom
space-group type: Fm-3m
energy above the lowest structure with this stoichiometry: 0.628 eV per atom

Lattice parameters (Å, degrees): 4.657 4.657 4.657 60.00 60.00 60.00
Atoms (fractional coordinates):
Os (0.500, 0.500, 0.500)
W (0.000, 0.000, 0.000)
In (0.250, 0.250, 0.250)
In (0.750, 0.750, 0.750)